Compound: HgPt2W
Source: Alexandria via LeMat-Bulk
Functional: PBE-GGA
Structure: relaxed

The structure in POSCAR format:
```
HgPt2W
1.0
3.293 0.000 0.000
0.000 3.293 0.000
0.000 0.000 6.381
Hg Pt W
1 2 1
direct
0.000 0.000 0.000 Hg
0.000 0.000 0.507 Pt
0.500 0.500 0.265 Pt
0.500 0.500 0.703 W
```

- calculated total energy (Ha/atom) = -0.2242
- SG = No. 99
- E_form (kJ/mol of atoms) = 22.6